! MgPSO2 | Alexandria via LeMat-Bulk | PBE-GGA | optimized geometry; values from VASP
! DFT total energy: -21.7 eV/f.u.
! Calculated density: 3082 kg/m³
! Density of states at the Fermi level: 3.00 states/eV per cell
! Space-group type: P4/mmm
! Total magnetic moment: 0.000 μB/f.u.
&SYSTEM
  ibrav = 0, nat = 5, ntyp = 4
/
ATOMIC_SPECIES
P 30.97 P.upf
S 32.06 S.upf
Mg 24.30 Mg.upf
O 16.00 O.upf
CELL_PARAMETERS angstrom
3.716 0.000 0.000
0.000 3.716 0.000
0.000 0.000 4.658
ATOMIC_POSITIONS angstrom
P 0.000 0.000 2.329
S 0.000 0.000 0.000
Mg 1.858 1.858 2.329
O 0.000 1.858 0.000
O 1.858 0.000 0.000

=====

! MgSbP2O | Alexandria via LeMat-Bulk | PBE-GGA | optimized geometry; values from VASP
! DFT total energy: -20.6 eV/f.u.
! Calculated density: 3579 kg/m³
! Density of states at the Fermi level: 3.06 states/eV per cell
! Space-group type: P4/mmm
! Total magnetic moment: 0.000 μB/f.u.
&SYSTEM
  ibrav = 0, nat = 5, ntyp = 4
/
ATOMIC_SPECIES
Sb 121.76 Sb.upf
Mg 24.30 Mg.upf
O 16.00 O.upf
P 30.97 P.upf
CELL_PARAMETERS angstrom
5.162 0.000 0.000
0.000 5.162 0.000
0.000 0.000 3.901
ATOMIC_POSITIONS angstrom
Sb 0.000 0.000 0.000
Mg 2.581 2.581 1.951
O 0.000 0.000 1.951
P 0.000 2.581 0.000
P 2.581 0.000 0.000

=====

! MgSb2P2O10 | Alexandria via LeMat-Bulk | PBE-GGA | optimized geometry; values from VASP
! DFT total energy: -98.0 eV/f.u.
! Calculated density: 3994 kg/m³
! Space-group type: Fdd2
! Total magnetic moment: 0.000 μB/f.u.
&SYSTEM
  ibrav = 0, nat = 30, ntyp = 4
/
ATOMIC_SPECIES
Mg 24.30 Mg.upf
Sb 121.76 Sb.upf
P 30.97 P.upf
O 16.00 O.upf
CELL_PARAMETERS angstrom
4.685 -3.349 8.497
-2.612 -2.018 8.455
1.842 -7.145 0.758
ATOMIC_POSITIONS angstrom
Mg 4.126 -8.116 13.126
Mg 3.148 -4.988 8.698
Sb 2.311 -8.263 6.672
Sb 0.212 -5.733 11.220
Sb 3.357 -10.871 15.837
Sb 1.123 -9.381 10.910
P 3.284 -4.204 11.689
P 4.175 -8.000 10.034
P 3.549 -5.199 5.637
P -0.070 -4.310 7.651
O 2.565 -6.319 6.118
O 0.512 -7.528 10.506
O 1.165 -4.704 8.457
O 3.087 -9.024 10.505
O 3.846 -4.332 6.889
O 2.665 -4.314 4.670
O -0.393 -3.835 11.229
O 0.600 -7.972 7.571
O 4.233 -8.758 6.490
O 0.188 -3.737 6.233
O 2.186 -5.303 11.482
O 0.212 -4.179 2.826
O 3.967 -4.026 10.309
O -0.929 -3.234 8.428
O -0.345 -1.555 4.137
O 5.207 -8.892 9.234
O 4.571 -10.084 13.096
O 3.599 -6.904 9.141
O -1.064 -5.505 7.453
O 2.150 -7.780 13.356

=====

! MgSbP2O | Alexandria via LeMat-Bulk | PBE-GGA | optimized geometry; values from VASP
! DFT total energy: -20.6 eV/f.u.
! Calculated density: 4002 kg/m³
! Density of states at the Fermi level: 1.90 states/eV per cell
! Space-group type: P4/mmm
! Total magnetic moment: 0.000 μB/f.u.
&SYSTEM
  ibrav = 0, nat = 5, ntyp = 4
/
ATOMIC_SPECIES
Sb 121.76 Sb.upf
Mg 24.30 Mg.upf
O 16.00 O.upf
P 30.97 P.upf
CELL_PARAMETERS angstrom
-0.821 0.188 -4.938
4.937 -0.196 -0.828
-0.166 -3.698 -0.113
ATOMIC_POSITIONS angstrom
Sb 1.975 -1.853 -2.940
Mg 0.000 0.000 0.000
O -0.083 -1.849 -0.057
P 2.468 -0.098 -0.414
P -0.410 0.094 -2.469

=====

! MgTiSbP3O12 | Alexandria via LeMat-Bulk | PBE-GGA | optimized geometry; values from VASP
! DFT total energy: -130.2 eV/f.u.
! Calculated density: 3501 kg/m³
! Space-group type: R3c
! Total magnetic moment: 0.000 μB/f.u.
&SYSTEM
  ibrav = 0, nat = 36, ntyp = 5
/
ATOMIC_SPECIES
Mg 24.30 Mg.upf
Ti 47.87 Ti.upf
Sb 121.76 Sb.upf
P 30.97 P.upf
O 16.00 O.upf
CELL_PARAMETERS angstrom
-4.926 -6.738 0.732
3.786 -7.410 -0.981
1.023 -4.526 6.977
ATOMIC_POSITIONS angstrom
Mg -0.117 -18.589 6.696
Mg -0.058 -9.252 3.333
Ti -0.018 -2.810 1.012
Ti -0.076 -12.147 4.376
Sb -0.040 -6.284 2.264
Sb -0.098 -15.621 5.627
P 2.078 -7.066 4.891
P 0.798 -8.805 0.041
P -3.024 -7.535 3.500
P 2.853 -11.187 3.226
P -0.874 -9.925 6.666
P -2.185 -11.632 1.903
O 2.156 -6.150 1.776
O -0.777 -5.279 4.141
O 1.497 -6.346 6.143
O -1.493 -6.563 0.564
O 2.656 -8.412 5.267
O 0.952 -7.392 3.861
O 2.323 -8.649 -0.235
O 0.427 -8.256 1.453
O -0.578 -3.113 2.811
O -1.526 -7.658 3.081
O 3.805 -10.740 4.378
O -1.122 -4.081 0.114
O 0.408 -10.265 0.082
O -3.963 -7.707 2.270
O 1.377 -10.799 3.539
O -3.236 -8.652 4.496
O -0.503 -10.197 5.178
O -2.420 -9.812 6.845
O -1.075 -11.042 2.823
O 1.631 -3.770 1.024
O 1.069 -12.581 5.839
O -1.590 -12.091 0.535
O 0.408 -13.540 3.165
O -1.722 -12.853 5.035

=====

! MgScPO2 | Alexandria via LeMat-Bulk | PBE-GGA | optimized geometry; values from VASP
! DFT total energy: -28.1 eV/f.u.
! Excess energy over the best structure of this formula in the dataset: 1.285 eV/f.u.
! Calculated density: 2894 kg/m³
! Density of states at the Fermi level: 3.23 states/eV per cell
! Space-group type: P4/mmm
! Total magnetic moment: 1.690 μB/f.u.
&SYSTEM
  ibrav = 0, nat = 5, ntyp = 4
/
ATOMIC_SPECIES
Sc 44.96 Sc.upf
P 30.97 P.upf
Mg 24.30 Mg.upf
O 16.00 O.upf
CELL_PARAMETERS angstrom
3.835 0.000 0.000
0.000 3.835 0.000
0.000 0.000 5.160
ATOMIC_POSITIONS angstrom
Sc 1.917 1.917 2.580
P 0.000 0.000 2.580
Mg 0.000 0.000 0.000
O 0.000 1.917 0.000
O 1.917 0.000 0.000

=====

! MgScPO2 | Alexandria via LeMat-Bulk | PBE-GGA | optimized geometry; values from VASP
! DFT total energy: -29.4 eV/f.u.
! Excess energy over the best structure of this formula in the dataset: 0.000 eV/f.u.
! Calculated density: 2513 kg/m³
! Density of states at the Fermi level: 4.24 states/eV per cell
! Space-group type: P4/mmm
! Total magnetic moment: 1.448 μB/f.u.
&SYSTEM
  ibrav = 0, nat = 5, ntyp = 4
/
ATOMIC_SPECIES
Sc 44.96 Sc.upf
P 30.97 P.upf
Mg 24.30 Mg.upf
O 16.00 O.upf
CELL_PARAMETERS angstrom
3.988 0.000 0.000
0.000 3.988 0.000
0.000 0.000 5.495
ATOMIC_POSITIONS angstrom
Sc 0.000 0.000 0.000
P 0.000 0.000 2.747
Mg 1.994 1.994 2.747
O 0.000 1.994 0.000
O 1.994 0.000 0.000

=====

! Mg2ScPO6 | Alexandria via LeMat-Bulk | PBE-GGA | optimized geometry; values from VASP
! DFT total energy: -72.6 eV/f.u.
! Calculated density: 3106 kg/m³
! Density of states at the Fermi level: 0.00 states/eV per cell
! Space-group type: C2/c
! Total magnetic moment: 0.000 μB/f.u.
&SYSTEM
  ibrav = 0, nat = 20, ntyp = 4
/
ATOMIC_SPECIES
Mg 24.30 Mg.upf
Sc 44.96 Sc.upf
P 30.97 P.upf
O 16.00 O.upf
CELL_PARAMETERS angstrom
6.616 -0.291 -0.302
1.880 6.036 1.491
1.880 1.267 6.087
ATOMIC_POSITIONS angstrom
Mg 5.151 4.757 5.767
Mg 1.916 1.571 2.461
Mg 5.224 2.255 1.510
Mg 8.459 5.441 4.816
Sc 3.534 4.688 2.645
Sc 6.842 2.324 4.632
P 3.534 2.005 5.230
P 6.842 5.007 2.047
O 5.747 6.543 6.545
O 1.320 0.859 0.646
O 4.628 0.469 0.731
O 9.055 6.153 6.631
O 5.632 4.131 2.441
O 8.051 4.581 2.907
O 4.743 2.881 4.836
O 2.324 2.431 4.369
O 3.814 5.558 4.468
O 3.253 2.899 1.708
O 6.561 1.454 2.809
O 7.122 4.113 5.568